Entry 1:
Below is a relaxed structure of TbSm2Ho4Tm, with properties calculated at the PBE-GGA level.

Values from the calculation:
formation energy from the elements = 437 meV per atom
raw total energy = -4.169 eV/atom
V = 526.8 Å³/cell
Fermi-level density of states = 2.15 states/eV/atom

Lattice parameters (Å, degrees): 9.474 9.474 11.743 128.30 128.30 88.61
Site moments in Bohr magnetons follow the coordinates.
Sites, in units of the cell vectors:
Tb 0.000 0.500 0.000  0.30
Tb 0.000 0.500 0.500  0.30
Sm 0.500 0.000 0.000  0.27
Sm 0.500 0.000 0.500  0.27
Sm 0.000 0.000 0.500  0.26
Sm 0.500 0.500 0.000  0.26
Ho 0.245 0.753 0.999  0.31
Ho 0.747 0.255 0.501  0.31
Ho 0.253 0.745 0.499  0.31
Ho 0.755 0.247 0.001  0.31
Ho 0.751 0.749 0.996  0.32
Ho 0.751 0.749 0.504  0.32
Ho 0.249 0.251 0.496  0.32
Ho 0.249 0.251 0.004  0.32
Tm 0.500 0.500 0.500  0.29
Tm 0.000 0.000 0.000  0.29


Entry 2:
Below is a relaxed structure of Tb6SmHo2Tm, with properties calculated at the PBE-GGA level.

Values from the calculation:
formation energy from the elements = 119 meV per atom
raw total energy = -4.494 eV/atom
V = 643.7 Å³/cell
Fermi-level density of states = 1.38 states/eV/atom

Lattice parameters (Å, degrees): 9.526 8.774 8.774 117.77 93.73 93.73
Sites, in units of the cell vectors:
Tb 0.056 0.123 0.752
Tb 0.444 0.248 0.877
Tb 0.944 0.877 0.248
Tb 0.556 0.752 0.123
Tb 0.315 0.985 0.434
Tb 0.185 0.566 0.015
Tb 0.685 0.015 0.566
Tb 0.815 0.434 0.985
Tb 0.119 0.709 0.492
Tb 0.381 0.508 0.291
Tb 0.881 0.291 0.508
Tb 0.619 0.492 0.709
Sm 0.250 0.975 0.025
Sm 0.750 0.025 0.975
Ho 0.454 0.800 0.696
Ho 0.046 0.304 0.200
Ho 0.546 0.200 0.304
Ho 0.954 0.696 0.800
Tm 0.250 0.410 0.590
Tm 0.750 0.590 0.410


Entry 3:
Below is a relaxed structure of Tb2SmHo5Tm, with properties calculated at the PBE-GGA level.

Values from the calculation:
formation energy from the elements = 295 meV per atom
raw total energy = -4.298 eV/atom
V = 577.2 Å³/cell
Fermi-level density of states = 1.29 states/eV/atom

Lattice parameters (Å, degrees): 8.859 8.859 9.661 117.29 117.29 90.00
Sites, in units of the cell vectors:
Tb 0.113 0.387 0.000
Tb 0.613 0.113 0.000
Tb 0.387 0.887 0.000
Tb 0.887 0.613 0.000
Sm 0.250 0.250 0.500
Sm 0.750 0.750 0.500
Ho 0.927 0.427 0.267
Ho 0.660 0.160 0.733
Ho 0.073 0.573 0.733
Ho 0.160 0.073 0.733
Ho 0.573 0.660 0.733
Ho 0.840 0.927 0.267
Ho 0.427 0.340 0.267
Ho 0.340 0.840 0.267
Ho 0.500 0.500 0.000
Ho 0.000 0.000 0.000
Tm 0.250 0.750 0.500
Tm 0.750 0.250 0.500


- Fermi-level density of states of number 3 (Tb2SmHo5Tm)?
  1.29 states/eV/atom


- The lowest Fermi-level density of states belongs to which entry?
  Tb2SmHo5Tm


- Look up the V of the second one.
  643.7 Å³/cell


- V of number 3 (Tb2SmHo5Tm)?
  577.2 Å³/cell